(1)
CdFe2Hg | GGA-PBE | relaxed

formation energy = 2.9 eV per formula unit
spin magnetization = 5.3 μB per formula unit

a = 7.282 Å, b = 7.282 Å, c = 5.478 Å
α = 90.00°, β = 90.00°, γ = 90.00°
Space group I-42d (No. 122)
Asymmetric unit:
Cd 0.000 0.000 0.000 x4
Fe 0.247 0.750 0.625 x8
Hg 0.000 0.000 0.500 x4


(2)
CdFe2Hg | GGA-PBE | relaxed

formation energy = 1.9 eV per formula unit
spin magnetization = 5.3 μB per formula unit

a = 2.9013 Å, b = 2.9013 Å, c = 27.6181 Å
α = 90.00°, β = 90.00°, γ = 120.00°
Space group R-3m (No. 166, hexagonal axes)
Asymmetric unit:
Cd 0.0000 0.0000 0.0000 x3
Fe 0.0000 0.0000 0.2500 x6
Hg 0.0000 0.0000 0.5000 x3